[1]
# RbSeI6 PBE relaxed
data_RbSeI6
_cell_length_a 9.7019
_cell_length_b 12.2342
_cell_length_c 7.1427
_cell_angle_alpha 90.00
_cell_angle_beta 118.14
_cell_angle_gamma 90.00
_space_group_name_H-M_alt 'C 1 2/m 1'
_space_group_IT_number 12
_space_group_name_Hall '-C 2y'
loop_
_atom_site_label
_atom_site_type_symbol
_atom_site_fract_x
_atom_site_fract_y
_atom_site_fract_z
Rb1 Rb 0.0000 0.0000 0.0000
Se1 Se 0.0000 0.5000 0.5000
I1 I 0.1532 0.3137 0.8133
I2 I 0.2433 0.0000 0.5816
# magnetic moment: 0.0 μB/cell
# N(E_F): 14.36 states/eV per cell
# final energy: -16.0 eV/f.u.

[2]
# CrCu3Re PBE relaxed
data_CrCu3Re
_cell_length_a 4.6413
_cell_length_b 4.6413
_cell_length_c 4.6413
_cell_angle_alpha 90.00
_cell_angle_beta 90.00
_cell_angle_gamma 90.00
_space_group_name_H-M_alt 'P m -3 m'
_space_group_IT_number 221
_space_group_name_Hall '-P 4 2 3'
loop_
_atom_site_label
_atom_site_type_symbol
_atom_site_fract_x
_atom_site_fract_y
_atom_site_fract_z
Cr1 Cr 0.0000 0.0000 0.0000
Cu1 Cu 0.0000 0.5000 0.5000
Re1 Re 0.5000 0.5000 0.5000
# magnetic moment: 3.7 μB/cell
# N(E_F): 4.66 states/eV per cell
# energy relative to the elements: 1.60 eV/atom

[3]
# In2Hg3 PBE relaxed
data_In2Hg3
_cell_length_a 6.2720
_cell_length_b 6.2720
_cell_length_c 25.4512
_cell_angle_alpha 90.00
_cell_angle_beta 90.00
_cell_angle_gamma 120.00
_space_group_name_H-M_alt 'R -3 c'
_space_group_IT_number 167
_space_group_name_Hall '-R 3 2"c'
loop_
_atom_site_label
_atom_site_type_symbol
_atom_site_fract_x
_atom_site_fract_y
_atom_site_fract_z
In1 In 0.0000 0.0000 0.1816
Hg1 Hg 0.0000 0.4179 0.2500
# magnetic moment: 0.0 μB/cell
# N(E_F): 9.51 states/eV per cell
# energy relative to the elements: 0.05 eV/atom

[4]
# DyEr2Pb PBE relaxed
data_DyEr2Pb
_cell_length_a 7.7071
_cell_length_b 7.7071
_cell_length_c 7.7071
_cell_angle_alpha 90.00
_cell_angle_beta 90.00
_cell_angle_gamma 90.00
_space_group_name_H-M_alt 'F -4 3 m'
_space_group_IT_number 216
_space_group_name_Hall 'F -4 2 3'
loop_
_atom_site_label
_atom_site_type_symbol
_atom_site_fract_x
_atom_site_fract_y
_atom_site_fract_z
Dy1 Dy 0.0000 0.0000 0.0000
Er1 Er 0.0000 0.0000 0.5000
Er2 Er 0.2500 0.2500 0.7500
Pb1 Pb 0.2500 0.2500 0.2500
# magnetic moment: 3.1 μB/cell
# N(E_F): 25.29 states/eV per cell
# energy relative to the elements: -0.08 eV/atom

[5]
# Rb2Na5Tl2Cd PBE relaxed
data_Rb2Na5Tl2Cd
_cell_length_a 12.9345
_cell_length_b 12.9345
_cell_length_c 4.5893
_cell_angle_alpha 90.00
_cell_angle_beta 90.00
_cell_angle_gamma 90.00
_space_group_name_H-M_alt 'P 4/m b m'
_space_group_IT_number 127
_space_group_name_Hall '-P 4 2ab'
loop_
_atom_site_label
_atom_site_type_symbol
_atom_site_fract_x
_atom_site_fract_y
_atom_site_fract_z
Rb1 Rb 0.1760 0.3240 0.0000
Na1 Na 0.0000 0.5000 0.5000
Na2 Na 0.0595 0.8078 0.5000
Tl1 Tl 0.1220 0.6220 0.0000
Cd1 Cd 0.0000 0.0000 0.0000
# magnetic moment: 0.0 μB/cell
# N(E_F): 7.11 states/eV per cell
# energy relative to the elements: -0.03 eV/atom

[6]
# LaMg2AgHg4 PBE relaxed
data_LaMg2AgHg4
_cell_length_a 4.8448
_cell_length_b 4.8448
_cell_length_c 27.8978
_cell_angle_alpha 90.00
_cell_angle_beta 90.00
_cell_angle_gamma 120.00
_space_group_name_H-M_alt 'R -3 m'
_space_group_IT_number 166
_space_group_name_Hall '-R 3 2"'
loop_
_atom_site_label
_atom_site_type_symbol
_atom_site_fract_x
_atom_site_fract_y
_atom_site_fract_z
La1 La 0.0000 0.0000 0.0000
Mg1 Mg 0.0000 0.0000 0.2368
Ag1 Ag 0.0000 0.0000 0.5000
Hg1 Hg 0.0000 0.0000 0.1253
Hg2 Hg 0.0000 0.0000 0.3905
# magnetic moment: 0.0 μB/cell
# N(E_F): 11.87 states/eV per cell
# energy relative to the elements: -0.27 eV/atom

[7]
# Tb3HoEr12 PBE relaxed
data_Tb3HoEr12
_cell_length_a 4.9636
_cell_length_b 4.9636
_cell_length_c 19.8469
_cell_angle_alpha 90.00
_cell_angle_beta 90.00
_cell_angle_gamma 90.00
_space_group_name_H-M_alt 'P 4/m m m'
_space_group_IT_number 123
_space_group_name_Hall '-P 4 2'
loop_
_atom_site_label
_atom_site_type_symbol
_atom_site_fract_x
_atom_site_fract_y
_atom_site_fract_z
Tb1 Tb 0.0000 0.0000 0.0000
Tb2 Tb 0.0000 0.0000 0.2502
Ho1 Ho 0.0000 0.0000 0.5000
Er1 Er 0.0000 0.5000 0.1252
Er2 Er 0.0000 0.5000 0.3754
Er3 Er 0.5000 0.5000 0.0000
Er4 Er 0.5000 0.5000 0.2504
Er5 Er 0.5000 0.5000 0.5000
# magnetic moment: 0.0 μB/cell
# N(E_F): 20.56 states/eV per cell
# energy relative to the elements: 0.02 eV/atom